# Ba2Li3VF12 (PBE+U, relaxed)
data_Ba2Li3VF12
_cell_length_a 7.5074
_cell_length_b 7.5074
_cell_length_c 16.4674
_cell_angle_alpha 90.00
_cell_angle_beta 90.00
_cell_angle_gamma 120.00
_space_group_name_H-M_alt 'R -3 m'
_space_group_IT_number 166
_space_group_name_Hall '-R 3 2"'
loop_
_atom_site_label
_atom_site_fract_x
_atom_site_fract_y
_atom_site_fract_z
_atom_site_occupancy
Ba1 0.0000 0.0000 0.1468 1
Li1 0.0000 0.5000 0.0000 1
V1 0.0000 0.0000 0.5000 1
F1 0.0482 0.5241 0.3989 1
F2 0.1063 0.5531 0.1048 1
# Total DFT energy (no corrections): -5.16 eV/atom
# Total magnetic moment: 0.21 μB per formula unit